# 1
Below is a relaxed Si2NiB2 crystal, with properties calculated at the PBE level.

Cell: 2.7121 2.7121 6.9194 Å, 78.70 78.70 90.00°
Fractional coordinates of all 5 atoms:
Ni  0.0000  0.0000  0.0000
Si  0.3782  0.3782  0.2435
Si  0.6218  0.6218  0.7565
B  0.7500  0.2500  0.5000
B  0.2500  0.7500  0.5000

=====

# 2
Below is a relaxed Si2NiB2 crystal, with properties calculated at the PBE level.

Cell: 5.9272 5.9272 3.0523 Å, 90.00 90.00 90.00°
Fractional coordinates of all 10 atoms:
Ni  0.0000  0.0000  0.0000
Ni  0.5000  0.5000  0.0000
Si  0.3631  0.8631  0.0000
Si  0.8631  0.6369  0.0000
Si  0.6369  0.1369  0.0000
Si  0.1369  0.3631  0.0000
B  0.1872  0.6872  0.5000
B  0.6872  0.8128  0.5000
B  0.8128  0.3128  0.5000
B  0.3128  0.1872  0.5000

=====

# 3
Below is a relaxed Si3NiB crystal, with properties calculated at the PBE level.

Cell: 4.3107 4.3107 4.3107 Å, 90.00 90.00 90.00°
Fractional coordinates of all 5 atoms:
Ni  0.0000  0.0000  0.0000
Si  0.0000  0.5000  0.0000
Si  0.0000  0.0000  0.5000
Si  0.5000  0.0000  0.0000
B  0.5000  0.5000  0.5000

=====

# 4
Below is a relaxed Si4Ni9B2 crystal, with properties calculated at the PBE level.

Cell: 6.4471 6.4471 6.4471 Å, 96.13 96.13 141.85°
Fractional coordinates of all 15 atoms:
Si  0.6347  0.9448  0.0000
Si  0.9448  0.6347  0.0000
Si  0.0552  0.0552  0.6900
Si  0.3653  0.3653  0.3100
Ni  0.6687  0.4525  0.6250
Ni  0.8274  0.0437  0.3750
Ni  0.1726  0.5475  0.2162
Ni  0.3313  0.9563  0.7838
Ni  0.9563  0.3313  0.7838
Ni  0.5475  0.1726  0.2162
Ni  0.0437  0.8274  0.3750
Ni  0.4525  0.6687  0.6250
Ni  0.5000  0.5000  0.0000
B  0.5000  0.0000  0.5000
B  0.0000  0.5000  0.5000

=====

# 5
Below is a relaxed SmSiNi6B crystal, with properties calculated at the PBE level.

Cell: 6.1524 7.8443 7.1279 Å, 123.38 115.57 90.00°
Fractional coordinates of all 18 atoms:
Sm  0.8130  0.5630  0.6259
Sm  0.1870  0.4370  0.3741
Si  0.5000  0.0000  0.5000
Si  0.0000  0.0000  0.5000
Ni  0.4682  0.7182  0.9364
Ni  0.9097  0.1597  0.8195
Ni  0.8539  0.1058  0.2465
Ni  0.3926  0.6407  0.2465
Ni  0.3926  0.1058  0.2465
Ni  0.8539  0.6407  0.2465
Ni  0.5318  0.2818  0.0636
Ni  0.0903  0.8403  0.1805
Ni  0.1461  0.8942  0.7535
Ni  0.6074  0.3593  0.7535
Ni  0.6074  0.8942  0.7535
Ni  0.1461  0.3593  0.7535
B  0.5000  0.5000  0.0000
B  0.5000  0.0000  0.0000

=====

# 6
Below is a relaxed Tb2SiNi6B crystal, with properties calculated at the PBE level.

Cell: 5.3781 6.4447 6.4435 Å, 49.38 65.31 90.00°
Fractional coordinates of all 10 atoms:
Tb  0.7796  0.2208  0.4405
Tb  0.2204  0.7792  0.5595
Si  0.5000  0.5000  0.0000
Ni  0.2369  0.2993  0.5257
Ni  0.7008  0.7634  0.0614
Ni  0.2376  0.7633  0.0616
Ni  0.7624  0.2367  0.9384
Ni  0.2992  0.2366  0.9386
Ni  0.7631  0.7007  0.4743
B  0.0000  0.0000  0.0000

=====

# 7
Below is a relaxed Tm3SiNi9B2 crystal, with properties calculated at the PBE level.

Cell: 5.3592 5.3592 8.1749 Å, 90.00 90.00 120.00°
Fractional coordinates of all 15 atoms:
Tm  0.3333  0.6667  0.6243
Tm  0.0000  0.0000  0.0000
Tm  0.6667  0.3333  0.3757
Si  0.0000  0.0000  0.5000
Ni  0.8359  0.1641  0.7153
Ni  0.8359  0.6718  0.7153
Ni  0.3282  0.1641  0.7153
Ni  0.6718  0.8359  0.2847
Ni  0.1641  0.3282  0.2847
Ni  0.1641  0.8359  0.2847
Ni  0.5000  0.0000  0.0000
Ni  0.0000  0.5000  0.0000
Ni  0.5000  0.5000  0.0000
B  0.3333  0.6667  0.1476
B  0.6667  0.3333  0.8524

=====

# 8
Below is a relaxed USiNi6B crystal, with properties calculated at the PBE level.

Cell: 5.7471 7.7115 6.9380 Å, 123.76 114.47 90.00°
Fractional coordinates of all 18 atoms:
U  0.7123  0.4623  0.4246
U  0.2877  0.5377  0.5754
Si  0.5000  0.0000  0.5000
Si  0.0000  0.0000  0.5000
Ni  0.5689  0.8189  0.1379
Ni  0.0147  0.2647  0.0294
Ni  0.9025  0.1142  0.2410
Ni  0.3385  0.6269  0.2410
Ni  0.3385  0.1142  0.2410
Ni  0.9025  0.6269  0.2410
Ni  0.4311  0.1811  0.8621
Ni  0.9853  0.7353  0.9706
Ni  0.0975  0.8858  0.7590
Ni  0.6615  0.3731  0.7590
Ni  0.6615  0.8858  0.7590
Ni  0.0975  0.3731  0.7590
B  0.5000  0.5000  0.0000
B  0.5000  0.0000  0.0000

=====

Listing formation energy without anion corrections for the structures above in their given order: 0.3364; 0.7723; 1.1161; -0.4665; -0.1312; -0.5240; -0.4878; -0.1644 eV/atom.